No. 1
VASP calculation (GGA-PBE) on an optimized crystal structure of K2TcSe.

The structure in POSCAR format:
```
K2TcSe
1.0
0.000 3.715 3.715
3.715 0.000 3.715
3.715 3.715 0.000
K Tc Se
2 1 1
direct
0.000 0.000 0.000 K
0.250 0.250 0.250 K
0.750 0.750 0.750 Tc
0.500 0.500 0.500 Se
```

calculated density = 4.13 g/cm³
uncorrected formation energy = 0.65 eV/atom

---

No. 2
VASP calculation (GGA-PBE) on an optimized crystal structure of PuZrAs.

The structure in POSCAR format:
```
PuZrAs
1.0
-1.515 2.764 8.341
1.515 -2.764 8.341
1.515 2.764 -8.341
Pu Zr As
2 2 2
direct
0.174 0.174 0.000 Pu
0.826 0.826 0.000 Pu
0.246 0.500 0.746 Zr
0.754 0.500 0.254 Zr
0.352 0.352 0.000 As
0.648 0.648 0.000 As
```

calculated density = 9.75 g/cm³
DFT formation energy = -0.304 eV/atom

---

No. 3
VASP calculation (GGA-PBE) on an optimized crystal structure of TlGa4Bi.

The structure in POSCAR format:
```
TlGa4Bi
1.0
0.000 4.134 4.134
4.134 0.000 4.134
4.134 4.134 0.000
Tl Ga Bi
1 4 1
direct
0.000 0.000 0.000 Tl
0.375 0.375 0.375 Ga
0.375 0.375 0.874 Ga
0.375 0.874 0.375 Ga
0.874 0.375 0.375 Ga
0.750 0.750 0.750 Bi
```

calculated density = 8.13 g/cm³
DFT formation energy = 0.063 eV/atom

---

No. 4
VASP calculation (GGA-PBE) on an optimized crystal structure of ZrMnCr.

The structure in POSCAR format:
```
ZrMnCr
1.0
4.227 0.000 0.000
-2.114 3.661 0.000
0.000 0.000 2.968
Zr Mn Cr
1 1 1
direct
0.000 0.000 0.000 Zr
0.667 0.333 0.628 Mn
0.333 0.667 0.385 Cr
```

calculated density = 7.16 g/cm³
DFT formation energy = 0.263 eV/atom
distance to the lowest polymorph of the same formula = 390 meV per atom

---

No. 5
VASP calculation (GGA-PBE) on an optimized crystal structure of Y3Cd2Pt3.

The structure in POSCAR format:
```
Y3Cd2Pt3
1.0
8.509 0.000 0.000
-4.255 7.369 0.000
0.000 0.000 5.772
Y Cd Pt
6 4 6
direct
0.000 0.280 0.250 Y
0.000 0.720 0.750 Y
0.280 0.000 0.250 Y
0.280 0.280 0.750 Y
0.720 0.000 0.750 Y
0.720 0.720 0.250 Y
0.333 0.667 0.000 Cd
0.333 0.667 0.500 Cd
0.667 0.333 0.000 Cd
0.667 0.333 0.500 Cd
0.000 0.376 0.750 Pt
0.000 0.624 0.250 Pt
0.376 0.000 0.750 Pt
0.376 0.376 0.250 Pt
0.624 0.000 0.250 Pt
0.624 0.624 0.750 Pt
```

calculated density = 9.88 g/cm³
DFT formation energy = -0.923 eV/atom

---

No. 6
VASP calculation (GGA-PBE) on an optimized crystal structure of KCeAu4.

The structure in POSCAR format:
```
KCeAu4
1.0
0.000 4.095 4.095
4.095 0.000 4.095
4.095 4.095 0.000
K Ce Au
1 1 4
direct
0.000 0.000 0.000 K
0.750 0.750 0.750 Ce
0.375 0.375 0.375 Au
0.375 0.375 0.876 Au
0.375 0.876 0.375 Au
0.876 0.375 0.375 Au
```

calculated density = 11.69 g/cm³
DFT formation energy = -0.283 eV/atom

---

calculated density of number 4 (ZrMnCr)?
7.16 g/cm³